Computed, not measured: crystalline TbThCo2 at its relaxed geometry at the PBE-GGA level of DFT.

Summary:
DFT total energy: -6.82 eV/atom
DFT formation energy: -0.2544 eV/atom
excess energy over the best structure of this formula in the dataset: 0 meV/atom
symmetry: Pm, No. 6
Fermi-level density of states: 0.721 states/eV/atom

Cell lengths 3.7784, 3.9373, 5.7119 Å; angles 90.00, 109.23, 90.00 degrees
With the nearest neighbours (Å) after each atom.
Fractional positions:
Tb1 0.0000 0.0000 0.0000  7 Co 2.82-3.05
Th1 0.2747 0.5000 0.5499  6 Co 2.79-2.95
Co1 0.5657 0.5000 0.1312  2 Co 2.59, 4 Tb 2.82
Co2 0.7216 0.0000 0.4433  2 Co 2.59, 4 Th 2.79